(1)
Crystalline Y2ScF at its relaxed geometry. Source: Alexandria via LeMat-Bulk, functional PBE.

Output
SG: R-3m (166)
Uncorrected formation energy: -1.108 eV per atom
Calculated volume: 23.4 A^3/atom
Total moment: 0.000 μB per atom

Lattice parameters (Å, degrees): 8.508 8.508 8.508 24.55 24.55 24.55
Fractional positions:
Y1 0.227 0.227 0.227
Y2 0.773 0.773 0.773
Sc1 0.000 0.000 0.000
F1 0.500 0.500 0.500

=====

(2)
Crystalline YSc2F11 at its relaxed geometry. Source: Alexandria via LeMat-Bulk, functional PBE.

Output
SG: Ibam (72)
Uncorrected formation energy: -3.334 eV per atom
Calculated volume: 15.0 A^3/atom
Total moment: 0.151 μB per atom

Lattice parameters (Å, degrees): 8.311 8.311 8.311 123.17 107.02 99.22
Fractional positions:
Y1 0.250 0.250 0.000
Y2 0.750 0.750 0.000
Sc1 0.189 0.656 0.845
Sc2 0.311 0.156 0.467
Sc3 0.689 0.844 0.533
Sc4 0.811 0.344 0.155
F1 0.000 0.500 0.500
F2 0.038 0.969 0.283
F3 0.051 0.349 0.138
F4 0.186 0.469 0.931
F5 0.199 0.391 0.589
F6 0.210 0.912 0.862
F7 0.290 0.151 0.702
F8 0.301 0.891 0.192
F9 0.314 0.245 0.283
F10 0.449 0.588 0.298
F11 0.462 0.745 0.931
F12 0.500 0.000 0.500
F13 0.538 0.255 0.069
F14 0.551 0.412 0.702
F15 0.686 0.755 0.717
F16 0.699 0.109 0.808
F17 0.710 0.849 0.298
F18 0.790 0.088 0.138
F19 0.801 0.609 0.411
F20 0.814 0.531 0.069
F21 0.949 0.651 0.862
F22 0.962 0.031 0.717

=====

> What is the calculated volume in the first record?

23.4 A^3/atom

=====

> What is the formula in the second record?

YSc2F11

=====

What did the first record say?
Crystalline Y2ScF at its relaxed geometry. Source: Alexandria via LeMat-Bulk, functional PBE.

Output
SG: R-3m (166)
Uncorrected formation energy: -1.108 eV per atom
Calculated volume: 23.4 A^3/atom
Total moment: 0.000 μB per atom

Lattice parameters (Å, degrees): 8.508 8.508 8.508 24.55 24.55 24.55
Fractional positions:
Y1 0.227 0.227 0.227
Y2 0.773 0.773 0.773
Sc1 0.000 0.000 0.000
F1 0.500 0.500 0.500